[1]
# Ac3CrBi | Alexandria | PBE | relaxed
# ΔH_f (0 K)   -9 kJ/mol of formula units
# Raw total energy   -25.9 eV per cell
# M_tot   0.000 μB per formula unit
data_Ac3CrBi
_chemical_formula_sum 'Ac3 Cr1 Bi1'
_cell_length_a 5.543
_cell_length_b 5.543
_cell_length_c 5.543
_cell_angle_alpha 90.00
_cell_angle_beta 90.00
_cell_angle_gamma 90.00
_symmetry_space_group_name_H-M 'P m -3 m'
_symmetry_Int_Tables_number 221
_symmetry_space_group_name_Hall '-P 4 2 3'
loop_
_atom_site_label
_atom_site_type_symbol
_atom_site_fract_x
_atom_site_fract_y
_atom_site_fract_z
_atom_site_occupancy
Ac1 Ac 0.000 0.000 0.500 1
Cr1 Cr 0.000 0.000 0.000 1
Bi1 Bi 0.500 0.500 0.500 1

[2]
# AcCrBi | Alexandria | PBE | relaxed
# ΔH_f (0 K)   52 kJ/mol of formula units
# Raw total energy   -68.3 eV per cell
# M_tot   0.000 μB per formula unit
data_AcCrBi
_chemical_formula_sum 'Ac4 Cr4 Bi4'
_cell_length_a 6.136
_cell_length_b 4.778
_cell_length_c 12.046
_cell_angle_alpha 90.00
_cell_angle_beta 94.57
_cell_angle_gamma 90.00
_symmetry_space_group_name_H-M 'C 1 2/m 1'
_symmetry_Int_Tables_number 12
loop_
_symmetry_equiv_pos_as_xyz
'x,y,z'
'-x,-y,-z'
'-x,y,-z'
'x,-y,z'
'x+1/2,y+1/2,z'
'-x+1/2,-y+1/2,-z'
'-x+1/2,y+1/2,-z'
'x+1/2,-y+1/2,z'
loop_
_atom_site_label
_atom_site_type_symbol
_atom_site_fract_x
_atom_site_fract_y
_atom_site_fract_z
_atom_site_occupancy
Ac1 Ac 0.220 0.000 0.368 1
Cr1 Cr 0.136 0.000 0.044 1
Bi1 Bi 0.201 0.500 0.160 1

[3]
# Ac2CrBi | Alexandria | PBE | relaxed
# ΔH_f (0 K)   -30 kJ/mol of formula units
# Raw total energy   -22.0 eV per cell
# M_tot   4.004 μB per formula unit
data_Ac2CrBi
_chemical_formula_sum 'Ac2 Cr1 Bi1'
_cell_length_a 5.602
_cell_length_b 5.602
_cell_length_c 4.321
_cell_angle_alpha 90.00
_cell_angle_beta 90.00
_cell_angle_gamma 90.00
_symmetry_space_group_name_H-M 'P 4/m m m'
_symmetry_Int_Tables_number 123
_symmetry_space_group_name_Hall '-P 4 2'
loop_
_atom_site_label
_atom_site_type_symbol
_atom_site_fract_x
_atom_site_fract_y
_atom_site_fract_z
_atom_site_occupancy
Ac1 Ac 0.000 0.500 0.000 1
Cr1 Cr 0.000 0.000 0.500 1
Bi1 Bi 0.500 0.500 0.500 1